7
Lattice="2.1752 -10.7732 0.0000 2.1752 10.7732 0.0000 0.0000 0.0000 3.4219" Properties=species:S:1:pos:R:3 comment="GGA-PBE Tm3Al2Hg2, optimized geometry" crystal_system=orthorhombic formation_enthalpy_0k_ev_per_atom=-0.420 mass_density_g_cm3=10.0 m_tot_mub_per_cell=0.00 sg="No. 65" dos_ef_per_ev_cell=4.61 pbc="T T T"
Tm 0.0000 0.0000 0.0000
Tm 2.1752 7.3194 0.0000
Tm 2.1752 -7.3194 0.0000
Al 2.1752 4.6946 1.7109
Al 2.1752 -4.6946 1.7109
Hg 2.1752 1.7191 1.7109
Hg 2.1752 -1.7191 1.7109